#i
5
Lattice="4.0237 0.0000 0.0000 0.0000 4.0237 0.0000 0.0000 0.0000 4.0237" Properties=species:S:1:pos:R:3 comment="PBE-GGA FeRe3C, optimized geometry" space_group="Pm-3m (221)" m_tot_mub_per_fu=0.00 pbc="T T T"
Fe 0.0000 0.0000 0.0000
Re 0.0000 2.0119 2.0119
Re 2.0119 0.0000 2.0119
Re 2.0119 2.0119 0.0000
C 2.0119 2.0119 2.0119

---

#ii
5
Lattice="4.3840 0.0000 0.0000 0.0000 4.3840 0.0000 0.0000 0.0000 4.3840" Properties=species:S:1:pos:R:3 comment="PBE-GGA FeRe3C, optimized geometry" space_group="Pm-3m (221)" m_tot_mub_per_fu=0.00 pbc="T T T"
Fe 0.0000 0.0000 0.0000
Re 0.0000 0.0000 2.1920
Re 0.0000 2.1920 0.0000
Re 2.1920 0.0000 0.0000
C 2.1920 2.1920 2.1920

---

Energies relative to the most stable structure are #i 0; #ii 2400, reported in meV/atom.